# 1
10
Lattice="-3.207 -1.417 -2.220 2.632 -1.864 -2.611 -0.276 -8.924 6.093" Properties=species:S:1:pos:R:3 comment="Ce2Ge3Ir4Pt, optimized geometry, DFT PBE-GGA" n_ef_per_ev_cell=9.033 sg=P-4m2 volume_a3_per_atom=18.613 total_energy_ev_per_atom=-7.418 pbc="T T T"
Ce -1.673 -2.981 0.441
Ce 1.111 -7.583 3.235
Ge -0.138 -4.462 3.046
Ge -1.844 -8.509 4.215
Ge 1.281 -2.056 -0.538
Ir -0.287 -1.640 -2.416
Ir 0.000 0.000 0.000
Ir -1.783 -6.516 2.854
Ir 1.220 -4.049 0.822
Pt -0.425 -6.103 0.630

---

# 2
4
Lattice="-5.311 1.555 -0.420 -0.628 -0.970 4.351 0.678 3.162 3.132" Properties=species:S:1:pos:R:3 comment="CePuGeIr, optimized geometry, DFT PBE-GGA" n_ef_per_ev_cell=10.346 sg=P3m1 volume_a3_per_atom=24.357 total_energy_ev_per_atom=-8.954 pbc="T T T"
Ce -4.607 1.349 -0.364
Pu -1.713 1.973 4.851
Ge -3.147 1.657 2.244
Ir -0.521 0.888 2.452

---

# 3
12
Lattice="4.424 0.000 0.000 0.000 7.028 0.000 0.000 0.000 7.606" Properties=species:S:1:pos:R:3 comment="Ce2Ge2IrRh, optimized geometry, DFT PBE-GGA" n_ef_per_ev_cell=18.414 sg=Pmc2_1 volume_a3_per_atom=19.711 total_energy_ev_per_atom=-7.117 pbc="T T T"
Ce 2.212 3.633 4.168
Ce 2.212 0.118 3.438
Ce 0.000 3.415 7.219
Ce 0.000 6.929 0.387
Ge 2.212 1.270 6.343
Ge 2.212 4.785 1.264
Ge 0.000 5.767 5.075
Ge 0.000 2.253 2.531
Ir 2.212 5.487 6.369
Ir 2.212 1.972 1.237
Rh 0.000 1.514 5.032
Rh 0.000 5.028 2.574

---

# 4
10
Lattice="-2.059 -0.130 3.727 1.581 -3.886 0.738 8.052 4.148 4.593" Properties=species:S:1:pos:R:3 comment="Ce2Ge4Ir3Rh, optimized geometry, DFT PBE-GGA" n_ef_per_ev_cell=8.423 sg=P-4m2 volume_a3_per_atom=18.424 total_energy_ev_per_atom=-7.235 pbc="T T T"
Ce 0.927 0.943 2.979
Ce 6.886 1.197 3.846
Ge -0.239 -2.008 2.232
Ge 0.000 0.000 0.000
Ge 4.046 2.549 4.758
Ge 3.768 -0.409 2.067
Ir 4.026 2.074 2.296
Ir 5.983 3.547 5.863
Ir 1.830 -1.407 0.962
Rh 3.787 0.066 4.529

---

# 5
20
Lattice="6.618 0.000 0.000 0.000 6.972 0.000 0.000 0.000 8.969" Properties=species:S:1:pos:R:3 comment="Ce2Ge6IrRh, optimized geometry, DFT PBE-GGA" n_ef_per_ev_cell=24.885 sg=Pmmn volume_a3_per_atom=20.691 total_energy_ev_per_atom=-5.999 pbc="T T T"
Ce 3.309 5.250 2.215
Ce 0.000 1.722 6.699
Ce 3.309 5.250 6.755
Ce 0.000 1.722 2.270
Ge 3.309 1.734 2.243
Ge 3.309 1.734 6.726
Ge 0.000 5.238 2.242
Ge 0.000 5.238 6.727
Ge 1.245 6.369 4.485
Ge 5.373 6.369 4.485
Ge 2.077 2.887 4.485
Ge 4.540 2.887 4.485
Ge 5.386 4.085 0.000
Ge 1.232 4.085 0.000
Ge 2.064 0.602 0.000
Ge 4.554 0.602 0.000
Ir 0.000 4.059 4.485
Ir 3.309 2.913 0.000
Rh 3.309 0.587 4.485
Rh 0.000 6.384 0.000

---

# 6
10
Lattice="4.294 0.000 0.000 0.000 4.294 0.000 0.000 0.000 9.999" Properties=species:S:1:pos:R:3 comment="Ce2Ge4Ir3Ru, optimized geometry, DFT PBE-GGA" n_ef_per_ev_cell=9.490 sg=P-4m2 volume_a3_per_atom=18.437 total_energy_ev_per_atom=-7.371 pbc="T T T"
Ce 2.147 0.000 2.484
Ce 0.000 2.147 7.515
Ge 2.147 2.147 0.000
Ge 0.000 0.000 0.000
Ge 2.147 0.000 6.267
Ge 0.000 2.147 3.732
Ir 0.000 0.000 4.999
Ir 2.147 0.000 8.720
Ir 0.000 2.147 1.279
Ru 2.147 2.147 4.999

---

# 7
20
Lattice="-4.780 -4.080 0.922 1.850 -3.587 -6.280 5.400 -5.286 4.609" Properties=species:S:1:pos:R:3 comment="Ce2Ge6IrRu, optimized geometry, DFT PBE-GGA" n_ef_per_ev_cell=28.476 sg=Pmmn volume_a3_per_atom=20.986 total_energy_ev_per_atom=-6.135 pbc="T T T"
Ce 0.384 -6.104 -3.138
Ce 4.515 -4.847 1.963
Ce 3.045 -8.708 -0.867
Ce 1.775 -2.165 -0.376
Ge -0.819 -3.906 0.349
Ge 2.123 -6.786 2.860
Ge 2.979 -4.363 -3.863
Ge 5.437 -6.769 -1.765
Ge 3.487 -6.896 -3.495
Ge 0.660 -9.309 -2.949
Ge 2.060 -5.513 -0.237
Ge 0.224 -7.080 0.117
Ge -2.845 -5.270 -2.710
Ge 0.100 -2.757 -3.278
Ge -1.327 -1.373 -0.020
Ge -3.281 -3.041 0.357
Ir 3.852 -4.875 -1.605
Ir -1.692 -3.394 -1.910
Ru 0.602 -5.250 1.774
Ru 1.558 -3.020 -5.288

---

# 8
10
Lattice="-0.394 -0.338 -4.158 -1.181 -3.996 0.436 -9.999 3.030 0.701" Properties=species:S:1:pos:R:3 comment="Ce2Ge3Ir4Ru, optimized geometry, DFT PBE-GGA" n_ef_per_ev_cell=8.711 sg=P-4m2 volume_a3_per_atom=18.383 total_energy_ev_per_atom=-7.683 pbc="T T T"
Ce -2.674 0.582 -1.905
Ce -8.112 0.282 0.745
Ge -5.000 1.515 0.350
Ge -8.883 2.464 -1.470
Ge -1.903 -1.600 0.310
Ir -0.787 -2.167 -1.861
Ir 0.000 0.000 0.000
Ir -6.543 1.755 -1.634
Ir -4.243 -0.891 0.474
Ru -5.787 -0.652 -1.510

---

# 9
5
Lattice="4.239 0.000 0.000 0.000 4.239 0.000 -2.119 -2.119 5.103" Properties=species:S:1:pos:R:3 comment="CeGe2IrRu, optimized geometry, DFT PBE-GGA" n_ef_per_ev_cell=4.542 sg=I-4m2 volume_a3_per_atom=18.339 total_energy_ev_per_atom=-7.385 pbc="T T T"
Ce 0.000 0.000 0.000
Ge 2.119 2.119 1.290
Ge 0.000 0.000 3.813
Ir 2.119 0.000 2.551
Ru 0.000 2.119 2.551

---

# 10
9
Lattice="4.023 0.000 0.000 0.000 4.023 0.000 0.000 0.000 11.206" Properties=species:S:1:pos:R:3 comment="CeGe2SbIr5, optimized geometry, DFT PBE-GGA" formation_energy_uncorrected_ev_per_fu=-2.1 n_ef_per_ev_cell=9.565 sg=P4/mmm volume_a3_per_atom=20.149 pbc="T T T"
Ce 0.000 0.000 5.603
Ge 2.011 2.011 3.169
Ge 2.011 2.011 8.037
Sb 0.000 0.000 0.000
Ir 0.000 2.011 1.761
Ir 2.011 0.000 1.761
Ir 0.000 2.011 9.445
Ir 2.011 0.000 9.445
Ir 2.011 2.011 5.603

---

# 11
10
Lattice="4.296 0.000 0.000 0.000 4.296 0.000 0.000 0.000 10.420" Properties=species:S:1:pos:R:3 comment="Ce2Ge3SbIr4, optimized geometry, DFT PBE-GGA" formation_energy_uncorrected_ev_per_fu=-7.1 n_ef_per_ev_cell=9.169 sg=P-4m2 volume_a3_per_atom=19.231 pbc="T T T"
Ce 2.148 0.000 2.534
Ce 0.000 2.148 7.886
Ge 0.000 0.000 5.210
Ge 2.148 0.000 9.084
Ge 0.000 2.148 1.336
Sb 2.148 2.148 5.210
Ir 2.148 2.148 0.000
Ir 0.000 0.000 0.000
Ir 2.148 0.000 6.650
Ir 0.000 2.148 3.770

---

# 12
10
Lattice="-1.577 -1.433 3.661 3.595 -2.123 0.717 3.802 8.055 4.789" Properties=species:S:1:pos:R:3 comment="Ce2SiGe3Ir4, optimized geometry, DFT PBE-GGA" formation_energy_uncorrected_ev_per_fu=-8.3 n_ef_per_ev_cell=7.892 sg=P-4m2 volume_a3_per_atom=18.146 pbc="T T T"
Ce 0.191 1.359 3.065
Ce 4.619 4.918 3.913
Si 2.910 2.250 4.584
Ge 1.901 4.027 2.395
Ge 2.507 6.265 5.982
Ge 2.304 0.012 0.997
Ir 1.009 -1.778 2.189
Ir 0.000 0.000 0.000
Ir 1.584 4.311 4.819
Ir 3.226 1.966 2.159